[1]
Material: NaMnAgI4
Method: DFT, PBE
State: relaxed

abc: 6.9832 6.9832 7.8918
angles: 116.26 116.26 90.00
Each line ends with the local moment (μB).
Sites, in units of the cell vectors:
I 0.3842 0.8552 0.2716  0.04
Na 0.0000 0.0000 0.0000  0.00
Mn 0.2500 0.7500 0.5000  4.28
Ag 0.5000 0.5000 0.0000  0.02
I 0.5836 0.6158 0.7284  0.04
I 0.8874 0.4164 0.2716  0.04
I 0.1448 0.1126 0.7284  0.04

=====

[2]
Material: MnNi2AgI
Method: DFT, PBE
State: relaxed

abc: 4.5235 5.0639 4.5235
angles: 90.00 90.00 90.00
Each line ends with the local moment (μB).
Sites, in units of the cell vectors:
Mn 0.0000 0.0000 0.0000  3.57
I 0.5000 0.5000 0.5000  0.07
Ni 0.0000 0.0000 0.5000  0.80
Ag 0.0000 0.5000 0.0000  0.07
Ni 0.5000 0.0000 0.0000  0.40

=====

In order of appearance, calculated volume = 300.2 103.6 Å³ per cell.
In order of appearance, energy relative to the elements, uncorrected = -0.609 0.993 eV/atom.
In order of appearance, Fermi-level density of states = 0.00 1.28 states/eV per cell.